Density functional theory data (meta-GGA SCAN) for TaSi2Br at its PBEsol-relaxed geometry.

Calculated values
M_tot ... 0.00 μB/f.u.
Calculated total energy ... -105.5 eV per cell
Energy relative to the elements, uncorrected ... 152 meV/atom

Structure (POSCAR):
```
TaSi2Br
1.0
3.176 0.000 0.000
0.000 3.176 0.000
0.000 0.000 7.472
Ta Si Br
1 2 1
direct
0.000 0.000 0.000 Ta
0.000 0.000 0.647 Si
0.500 0.500 0.803 Si
0.500 0.500 0.232 Br
```